[1]
This record from the Alexandria database describes crystalline TaTcI2N at its relaxed geometry. The functional is PBE.

The value obtained for the energy relative to the elements, uncorrected is 5.2 eV/f.u.

The space group is P4/mmm (No. 123) and the conventional cell measures 5.5155, 5.5155 and 3.7111 Å, with angles of 90.00, 90.00 and 90.00 degrees. The asymmetric unit holds Ta at (0.0000, 0.0000, 0.0000), Tc at (0.5000, 0.5000, 0.5000), I at (0.0000, 0.5000, 0.5000) and N at (0.5000, 0.5000, 0.0000).

***

[2]
This record from the Alexandria database describes crystalline GdTmCdPd at its relaxed geometry. The functional is PBE.

The space group is F-43m (No. 216) and the conventional cell measures 7.2367, 7.2367 and 7.2367 Å, with angles of 90.00, 90.00 and 90.00 degrees. The asymmetric unit holds Gd at (0.0000, 0.0000, 0.0000), Tm at (0.0000, 0.0000, 0.5000), Cd at (0.2500, 0.2500, 0.2500) and Pd at (0.2500, 0.2500, 0.7500).

***

[3]
This record from the Alexandria database describes crystalline CeNd3In2 at its relaxed geometry. The functional is PBE.

The space group is Pnma (No. 62) and the conventional cell measures 9.1378, 3.5741 and 21.6820 Å, with angles of 90.00, 90.00 and 90.00 degrees. The asymmetric unit holds Ce at (0.0582, 0.2500, 0.0678), Nd at (0.0223, 0.2500, 0.3319), Nd at (0.1130, 0.7500, 0.8067), Nd at (0.1340, 0.2500, 0.5417), In at (0.2039, 0.7500, 0.1939) and In at (0.2494, 0.7500, 0.4237).

***

[4]
This record from the Alexandria database describes crystalline HfSi3I at its relaxed geometry. The functional is PBE.

The value obtained for the energy relative to the elements, uncorrected is 4.2 eV/f.u.

The space group is Pm-3m (No. 221) and the conventional cell measures 5.2167, 5.2167 and 5.2167 Å, with angles of 90.00, 90.00 and 90.00 degrees. The asymmetric unit holds Hf at (0.0000, 0.0000, 0.0000), Si at (0.0000, 0.0000, 0.5000) and I at (0.5000, 0.5000, 0.5000).

***

[5]
This record from the Alexandria database describes crystalline Dy2Zn3SiNi12 at its relaxed geometry. The functional is PBE.

The value obtained for the energy relative to the elements, uncorrected is -0.3 eV/f.u.

The space group is R-3m (No. 166, hexagonal axes) and the conventional cell measures 6.0166, 6.0166 and 25.0674 Å, with angles of 90.00, 90.00 and 120.00 degrees. The asymmetric unit holds Dy at (0.0000, 0.0000, 0.1508), Zn at (0.0000, 0.5000, 0.0000), Si at (0.0000, 0.0000, 0.5000), Ni at (0.0430, 0.5215, 0.1008) and Ni at (0.0737, 0.5369, 0.6149).

***

[6]
This record from the Alexandria database describes crystalline Er12Os3N5 at its relaxed geometry. The functional is PBE.

The value obtained for the energy relative to the elements, uncorrected is -16.7 eV/f.u.

The space group is Ia-3d (No. 230) and the conventional cell measures 14.9985, 14.9985 and 14.9985 Å, with angles of 90.00, 90.00 and 90.00 degrees. The asymmetric unit holds Er at (0.0291, 0.0543, 0.6519), Os at (0.0000, 0.2500, 0.1250), N at (0.0000, 0.0000, 0.0000) and N at (0.0000, 0.2500, 0.3750).

***

| no. | uncorrected energy (eV for the cell shown) | N(E_F) (states/eV per cell) |
| --- | --- | --- |
| 1 | -28.4 | 4.7 |
| 2 | -107.4 | 10.7 |
| 3 | -108.6 | 36.1 |
| 4 | -23.5 | 8.3 |
| 5 | -264.3 | 36.8 |
| 6 | -1174.2 | 96.1 |